Entry 1:
{"formula": "Tl3CoBr6", "functional": "PBE", "state": "relaxed", "lattice_angstrom": [[-5.266, 4.040, -4.206], [4.819, -2.626, -8.556], [-6.777, -7.461, 1.319]], "species": ["Tl", "Tl", "Tl", "Tl", "Tl", "Tl", "Co", "Co", "Br", "Br", "Br", "Br", "Br", "Br", "Br", "Br", "Br", "Br", "Br", "Br"], "fractional_positions": [[0.470, 0.901, 0.713], [0.970, 0.713, 0.901], [0.408, 0.403, 0.597], [0.908, 0.597, 0.403], [0.970, 0.099, 0.287], [0.470, 0.287, 0.099], [0.041, 0.192, 0.808], [0.541, 0.808, 0.192], [0.193, 0.683, 0.640], [0.693, 0.640, 0.683], [0.165, 0.405, 0.894], [0.665, 0.894, 0.405], [0.132, 0.052, 0.948], [0.747, 0.204, 0.796], [0.247, 0.796, 0.204], [0.632, 0.948, 0.052], [0.165, 0.106, 0.595], [0.665, 0.595, 0.106], [0.193, 0.360, 0.317], [0.693, 0.317, 0.360]], "de_polymorph_mev_per_atom": 0, "crystal_system": "orthorhombic", "magmom_total_mub_per_fu": 4.070}



Entry 2:
{"formula": "CuSiRu2", "functional": "PBE", "state": "relaxed", "lattice_angstrom": [[-0.206, -1.874, 4.165], [4.249, -0.672, 1.547], [-2.035, 3.692, -1.768]], "species": ["Cu", "Ru", "Ru", "Si"], "fractional_positions": [[0.750, 0.250, 0.500], [0.000, 0.000, 0.000], [0.250, 0.750, 0.500], [0.500, 0.500, 0.000]], "crystal_system": "tetragonal", "magmom_total_mub_per_fu": 0.000}



Entry 3:
{"formula": "MgTi4Te8", "functional": "PBE", "state": "relaxed", "lattice_angstrom": [[-5.189, -2.966, 4.719], [1.896, -3.696, -6.382], [8.125, -0.312, 2.595]], "species": ["Mg", "Ti", "Ti", "Ti", "Ti", "Te", "Te", "Te", "Te", "Te", "Te", "Te", "Te"], "fractional_positions": [[0.000, 0.500, 0.500], [0.000, 0.000, 0.000], [0.000, 0.500, 0.000], [0.500, 0.500, 0.000], [0.500, 0.000, 0.000], [0.490, 0.745, 0.234], [0.510, 0.255, 0.766], [0.489, 0.245, 0.235], [0.009, 0.254, 0.765], [0.511, 0.755, 0.765], [0.009, 0.755, 0.765], [0.991, 0.245, 0.235], [0.991, 0.746, 0.235]], "crystal_system": "trigonal", "magmom_total_mub_per_fu": 0.002}



Calculated values (states/eV per atom) of N(E_F) for the records, taken in order: 0.647 0.958 0.596.
Calculated values (kJ per mole of atoms) of formation energy without anion corrections for the records, taken in order: -59.9 -1.0 -67.1.